DFT (PBE+U) results for a relaxed Nd2VCrO6 crystal.

Computed properties:
DFT total energy = -8.184 eV/atom
V = 12.222 Å³/atom
Spin magnetization = 0.50 μB per atom
Symmetry = P2_1/c

Unit cell a=5.4712 b=5.7328 c=9.5140 alpha=90.00 beta=125.00 gamma=90.00
With the nearest neighbours (Å) after each atom.
Fractional positions:
Nd1 0.2346 0.0560 0.2502  6 O 2.36-2.60
Nd2 0.2346 0.4440 0.7502  6 O 2.36-2.60
Nd3 0.7654 0.5560 0.2498  6 O 2.36-2.60
Nd4 0.7654 0.9440 0.7498  6 O 2.36-2.60
V1 0.0000 0.0000 0.5000  6 O 2.02-2.09
V2 0.0000 0.5000 0.0000  6 O 2.02-2.09
Cr1 0.5000 0.0000 0.0000  6 O 2.02-2.05
Cr2 0.5000 0.5000 0.5000  6 O 2.02-2.05
O1 0.1549 0.1997 0.9509  1 Cr 2.02, 1 V 2.09
O2 0.1549 0.3003 0.4509  1 Cr 2.02, 1 V 2.09
O3 0.2496 0.7057 0.9512  1 V 2.05, 1 Cr 2.05
O4 0.2496 0.7943 0.4512  1 V 2.05, 1 Cr 2.05
O5 0.3424 0.0302 0.7493  1 V 2.02, 1 Cr 2.03
O6 0.3424 0.4698 0.2493  1 V 2.02, 1 Cr 2.03
O7 0.6576 0.5302 0.7507  1 V 2.02, 1 Cr 2.03
O8 0.6576 0.9698 0.2507  1 V 2.02, 1 Cr 2.03
O9 0.7504 0.2057 0.5488  1 V 2.05, 1 Cr 2.05
O10 0.7504 0.2943 0.0488  1 V 2.05, 1 Cr 2.05
O11 0.8451 0.6997 0.5491  1 Cr 2.02, 1 V 2.09
O12 0.8451 0.8003 0.0491  1 Cr 2.02, 1 V 2.09